An optimized crystal structure of NiAu2F8. Source: Alexandria, functional PBE+U.

Computed properties:
The calculation puts the theoretical density at 6.1 g/cm³. Its space group is P1. As for the crystal system: triclinic. The energy relative to the lowest polymorph listed for this composition is 40.7 meV per atom. The magnetic moment comes out at 2.00 μB per formula unit.

Cell: 5.2612 6.3135 6.3116 Å, 128.57 89.38 90.69°
Closest atoms and distances in Å follow each position.
Sites, in units of the cell vectors:
Ni 0.0000 0.9596 0.9595  6 F 2.02-2.13
Au 0.2303 0.2164 0.5975  4 F 1.95-2.02
Au 0.7696 0.5970 0.2158  4 F 1.95-2.02
F 0.2754 0.8282 0.3899  1 Au 1.95
F 0.7246 0.3888 0.8273  1 Au 1.95
F 0.7997 0.9144 0.2240  1 Au 1.98, 1 Ni 2.13
F 0.2532 0.1789 0.2651  1 Au 1.96, 1 Ni 2.02
F 0.2051 0.6208 0.8063  1 Au 2.02, 1 Ni 2.03
F 0.2001 0.2250 0.9152  1 Au 1.98, 1 Ni 2.13
F 0.7947 0.8062 0.6205  1 Au 2.02, 1 Ni 2.03
F 0.7471 0.2648 0.1788  1 Au 1.96, 1 Ni 2.02